First-principles (PBE+U) data for a relaxed SiWS2O crystal, as listed in the Alexandria database.

Properties
**Calculated volume**: 106.0 Å³/f.u.
**N(E_F)**: 2.097 states/eV/atom
**Final energy**: -0.31470 Ry/atom
**Space group**: P4/mmm, No. 123
**Total moment**: 0.364 Bohr magnetons per cell

Lattice parameters (Å, degrees): 4.563 4.563 5.089 90.00 90.00 90.00
Atoms (fractional coordinates):
Si  0.000  0.000  0.000
W  0.000  0.000  0.500
S  0.000  0.500  0.500
S  0.500  0.000  0.500
O  0.500  0.500  0.000